[1]
NaCd3C at its PBEsol-relaxed geometry, computed with SCAN.

Cell and atoms, written as POSCAR:
```
NaCd3C
1.0
4.666 0.000 0.000
0.000 4.666 0.000
0.000 0.000 4.666
Na Cd C
1 3 1
Direct
0.000 0.000 0.000
0.000 0.500 0.500
0.500 0.000 0.500
0.500 0.500 0.000
0.500 0.500 0.500
```

Calculated values
- Total DFT energy (no corrections): -20.37 eV/atom
- Symmetry: Pm-3m (221)

=====

[2]
Na3CdPCO7 at its PBEsol-relaxed geometry, computed with SCAN.

Cell and atoms, written as POSCAR:
```
Na3CdPCO7
1.0
5.169 0.000 0.000
0.000 6.872 0.000
-0.048 0.000 9.109
Na Cd P C O
6 2 2 2 14
Direct
0.241 0.250 0.417
0.242 0.001 0.755
0.242 0.499 0.755
0.758 0.501 0.245
0.758 0.999 0.245
0.759 0.750 0.583
0.232 0.750 0.131
0.768 0.250 0.869
0.297 0.250 0.094
0.703 0.750 0.906
0.263 0.750 0.440
0.737 0.250 0.560
0.034 0.750 0.380
0.197 0.250 0.933
0.204 0.071 0.183
0.204 0.429 0.183
0.288 0.750 0.581
0.401 0.750 0.911
0.468 0.750 0.357
0.532 0.250 0.643
0.599 0.250 0.089
0.712 0.250 0.419
0.796 0.571 0.817
0.796 0.929 0.817
0.803 0.750 0.067
0.966 0.250 0.620
```

Calculated values
- Symmetry: P2_1/m (11)
- Formation energy from raw total energies: -2.09 eV/atom

=====

[3]
NbCdRu2C at its PBEsol-relaxed geometry, computed with SCAN.

Cell and atoms, written as POSCAR:
```
NbCdRu2C
1.0
4.850 0.000 0.000
0.000 4.850 0.000
0.000 0.000 3.702
Nb Cd Ru C
1 1 2 1
Direct
0.000 0.000 0.000
0.500 0.500 0.500
0.000 0.500 0.500
0.500 0.000 0.500
0.500 0.500 0.000
```

Calculated values
- Total DFT energy (no corrections): -26.23 eV/atom
- Symmetry: P4/mmm (123)

=====

Number 1: total magnetization 0.00 μB per atom. Number 2: total magnetization 0.00 μB per atom. Number 3: total magnetization 0.21 μB per atom.